[1]
VASP calculation (meta-GGA SCAN) on a PBEsol-optimized structure of Li8VO5F.

## Properties
calculated volume = 125.3 Å³/cell
total DFT energy (no corrections) = -105.306 eV per cell
ρ = 2.724 g/cm3
formation energy without anion corrections = -3281 kJ/mol of formula units

abc: 5.317 5.352 5.844
angles: 90.72 116.43 118.60
Each line ends with the local moment (μB).
Atoms (fractional coordinates):
1 Li 0.241 0.479 0.360  0.00
2 Li 0.131 0.236 0.655  0.00
3 Li 0.407 0.893 0.641  0.00
4 Li 0.712 0.342 0.008  0.00
5 Li 0.316 0.686 0.971  0.00
6 Li 0.587 0.093 0.358  0.00
7 Li 0.886 0.781 0.360  0.00
8 Li 0.757 0.518 0.655  0.00
9 V 0.968 0.976 0.984  1.82
10 O 0.516 0.607 0.760  0.04
11 O 0.854 0.090 0.236  0.00
12 O 0.150 0.764 0.232  0.00
13 O 0.841 0.229 0.763  0.00
14 O 0.134 0.905 0.758  0.00
15 F 0.499 0.400 0.260  0.00

---

[2]
VASP calculation (meta-GGA SCAN) on a PBEsol-optimized structure of Li3V2O3F3.

## Properties
calculated volume = 112.4 Å³/cell
total DFT energy (no corrections) = -102.595 eV per cell
ρ = 3.364 g/cm3
formation energy without anion corrections = -3004 kJ/mol of formula units

abc: 3.134 3.134 13.337
angles: 83.25 83.25 60.00
Each line ends with the local moment (μB).
Atoms (fractional coordinates):
1 F 0.813 0.813 0.562  0.00
2 F 0.205 0.205 0.385  0.01
3 F 0.086 0.086 0.743  0.00
4 V 0.002 0.002 0.994  1.97
5 V 0.260 0.260 0.220  1.79
6 O 0.920 0.920 0.241  -0.05
7 O 0.689 0.689 0.933  -0.07
8 O 0.308 0.308 0.077  -0.04
9 Li 0.860 0.860 0.421  0.00
10 Li 0.739 0.739 0.784  0.00
11 Li 0.133 0.133 0.602  0.00

---

[3]
VASP calculation (meta-GGA SCAN) on a PBEsol-optimized structure of Li2VOF3.

## Properties
calculated volume = 276.1 Å³/cell
total DFT energy (no corrections) = -239.319 eV per cell
ρ = 3.315 g/cm3
offset from the most stable computed form = 50 meV/atom
formation energy without anion corrections = -1998 kJ/mol of formula units

abc: 4.932 4.966 11.273
angles: 90.00 90.00 90.00
Each line ends with the local moment (μB).
Atoms (fractional coordinates):
1 Li 0.000 0.000 0.208  0.00
2 Li 0.000 0.500 0.343  0.00
3 Li 0.000 0.000 0.641  0.00
4 Li 0.000 0.500 0.778  0.00
5 Li 0.500 0.500 0.278  0.00
6 Li 0.500 0.000 0.708  0.00
7 Li 0.500 0.500 0.843  0.00
8 Li 0.500 0.000 0.141  0.00
9 V 0.000 0.500 0.067  1.89
10 V 0.000 0.000 0.948  1.87
11 V 0.500 0.500 0.567  1.89
12 V 0.500 0.000 0.448  1.87
13 O 0.207 0.823 0.063  -0.02
14 O 0.293 0.823 0.563  -0.02
15 O 0.707 0.177 0.563  -0.02
16 O 0.793 0.177 0.063  -0.02
17 F 0.230 0.334 0.937  0.02
18 F 0.221 0.329 0.196  0.01
19 F 0.216 0.821 0.812  0.00
20 F 0.284 0.821 0.312  0.00
21 F 0.279 0.329 0.696  0.01
22 F 0.270 0.334 0.437  0.02
23 F 0.730 0.666 0.437  0.02
24 F 0.716 0.179 0.312  0.00
25 F 0.721 0.671 0.696  0.01
26 F 0.779 0.671 0.196  0.01
27 F 0.784 0.179 0.812  0.00
28 F 0.770 0.666 0.937  0.02

---

Which formula does entry 2 have?
Li3V2O3F3